PBE Ho5Th, relaxed; ΔE_f = 0.02 eV/atom; energy = -5.03 eV per atom
1.0
-0.6813 2.8408 1.9890
-3.3669 -0.0564 -1.0727
-3.5345 -8.9440 11.5636
Ho Th
5 1
Direct
0.0000 0.0000 0.6640
0.5000 0.5000 0.8349
0.0000 0.0000 0.0000
0.5000 0.5000 0.1651
0.0000 0.0000 0.3360
0.5000 0.5000 0.5000

***

PBE TmPuCu2Ge2, relaxed; ΔE_f = -0.50 eV/atom; energy = -6.54 eV per atom
1.0
-0.4843 4.2022 -0.0226
-3.2580 -2.5099 -0.9897
-2.0213 -0.1945 7.1476
Tm Pu Cu Ge
1 1 2 2
Direct
0.0000 0.0000 0.5000
0.0000 0.0000 0.0000
0.3333 0.6667 0.7294
0.6667 0.3333 0.2706
0.3333 0.6667 0.2517
0.6667 0.3333 0.7483

***

PBE Ba3Hg5Bi2Pb2, relaxed; ΔE_f = -0.36 eV/atom; energy = -2.23 eV per atom
1.0
5.0278 0.0000 0.0000
0.0000 5.0278 0.0000
-2.5139 -2.5139 16.4690
Ba Hg Bi Pb
3 5 2 2
Direct
0.1662 0.1662 0.3325
0.8338 0.8338 0.6675
0.0000 0.0000 0.0000
0.5756 0.0756 0.1512
0.4244 0.9244 0.8488
0.0756 0.5756 0.1512
0.9244 0.4244 0.8488
0.5000 0.5000 0.0000
0.7305 0.7305 0.4609
0.2695 0.2695 0.5391
0.3620 0.3620 0.7240
0.6380 0.6380 0.2760